#1
The following is a GGA-PBE calculation of crystalline KSrPtO2 at its relaxed geometry, from Alexandria.

Properties
The density of states at the Fermi level is 5.373 states/eV/f.u.

```
KSrPtO2
1.0
5.307 0.000 0.000
0.000 7.614 0.000
0.000 -3.807 6.579
Pt Sr O K
2 2 4 2
Direct
0.000 0.000 0.000 Pt
0.000 0.500 0.000 Pt
0.500 0.750 0.000 Sr
0.500 0.250 0.000 Sr
0.707 0.591 0.182 O
0.293 0.409 0.818 O
0.707 0.909 0.818 O
0.293 0.091 0.182 O
0.996 0.750 0.500 K
0.004 0.250 0.500 K
```

=====

#2
The following is a GGA-PBE calculation of crystalline KSrPtO2 at its relaxed geometry, from Alexandria.

Properties
The density of states at the Fermi level is 1.669 states/eV/f.u.

```
KSrPtO2
1.0
4.582 0.000 0.000
0.000 6.480 0.000
0.000 0.000 4.582
Sr O Pt K
1 2 1 1
Direct
0.000 0.500 0.000 Sr
0.000 0.000 0.500 O
0.500 0.000 0.000 O
0.500 0.500 0.500 Pt
0.000 0.000 0.000 K
```

=====

Relative to the most stable one, in meV/atom, the structures come out at #1 0; #2 1807.

=====

#1
The following is a GGA-PBE calculation of crystalline K4PuO4 at its relaxed geometry, from Alexandria.

Properties
The density of states at the Fermi level is 7.047 states/eV/f.u.

```
K4PuO4
1.0
-1.808 1.790 2.511
3.486 -0.662 5.527
6.109 8.644 0.780
O K Pu
4 4 1
Direct
0.920 0.230 0.930 O
0.627 0.920 0.826 O
0.373 0.080 0.174 O
0.080 0.770 0.070 O
0.722 0.403 0.152 K
0.924 0.831 0.321 K
0.278 0.597 0.848 K
0.076 0.169 0.679 K
0.500 0.000 0.000 Pu
```

=====

#2
The following is a GGA-PBE calculation of crystalline K4PuO4 at its relaxed geometry, from Alexandria.

```
K4PuO4
1.0
6.628 0.000 0.000
0.000 6.628 0.000
-3.314 -3.314 5.662
O K Pu
4 4 1
Direct
0.288 0.916 0.205 O
0.916 0.288 0.205 O
0.084 0.084 0.795 O
0.712 0.712 0.795 O
0.500 0.000 0.000 K
0.701 0.701 0.402 K
0.000 0.500 0.000 K
0.299 0.299 0.598 K
0.000 0.000 0.000 Pu
```

=====

Relative to the most stable one, in meV/atom, the structures come out at #1 0; #2 173.

=====

#1
The following is a GGA-PBE calculation of crystalline KPu2O6 at its relaxed geometry, from Alexandria.

Properties
The density of states at the Fermi level is 6.843 states/eV/f.u.

```
KPu2O6
1.0
6.774 0.000 3.911
2.258 6.387 3.911
0.000 0.000 7.822
O Pu K
12 4 2
Direct
0.192 0.808 0.192 O
0.058 0.442 0.442 O
0.058 0.442 0.058 O
0.442 0.442 0.058 O
0.192 0.192 0.808 O
0.808 0.192 0.808 O
0.058 0.058 0.442 O
0.192 0.808 0.808 O
0.808 0.192 0.192 O
0.808 0.808 0.192 O
0.442 0.058 0.442 O
0.442 0.058 0.058 O
0.125 0.125 0.125 Pu
0.125 0.125 0.625 Pu
0.125 0.625 0.125 Pu
0.625 0.125 0.125 Pu
0.750 0.750 0.750 K
0.500 0.500 0.500 K
```

=====

#2
The following is a GGA-PBE calculation of crystalline KPu2O6 at its relaxed geometry, from Alexandria.

Properties
The density of states at the Fermi level is 11.589 states/eV/f.u.

```
KPu2O6
1.0
5.849 0.000 0.000
-2.924 5.065 0.000
0.000 0.000 5.615
O Pu K
6 2 1
Direct
0.381 0.381 0.312 O
0.619 0.000 0.312 O
0.619 0.619 0.688 O
0.000 0.381 0.688 O
0.381 0.000 0.688 O
0.000 0.619 0.312 O
0.667 0.333 0.500 Pu
0.333 0.667 0.500 Pu
0.000 0.000 0.000 K
```

=====

Relative to the most stable one, in meV/atom, the structures come out at #1 0; #2 13.

=====

#1
The following is a GGA-PBE calculation of crystalline K3PuO4 at its relaxed geometry, from Alexandria.

Properties
The density of states at the Fermi level is 5.079 states/eV/f.u.

```
K3PuO4
1.0
6.216 -0.015 0.000
-2.196 6.261 0.000
0.000 0.000 7.504
O K Pu
8 6 2
Direct
0.009 0.818 0.913 O
0.066 0.794 0.308 O
0.491 0.182 0.913 O
0.991 0.182 0.087 O
0.934 0.206 0.692 O
0.434 0.206 0.308 O
0.509 0.818 0.087 O
0.566 0.794 0.692 O
0.250 0.500 0.879 K
0.750 0.000 0.386 K
0.750 0.500 0.121 K
0.750 0.500 0.637 K
0.250 0.500 0.363 K
0.250 0.000 0.614 K
0.750 0.000 0.887 Pu
0.250 0.000 0.113 Pu
```

=====

#2
The following is a GGA-PBE calculation of crystalline K3PuO4 at its relaxed geometry, from Alexandria.

Properties
The density of states at the Fermi level is 5.002 states/eV/f.u.

```
K3PuO4
1.0
3.564 0.000 0.000
0.000 6.624 0.081
0.000 -2.576 6.103
K O Pu
3 4 1
Direct
0.000 0.500 0.000 K
0.000 0.000 0.500 K
0.500 0.500 0.500 K
0.500 0.180 0.820 O
0.000 0.798 0.798 O
0.500 0.820 0.180 O
0.000 0.202 0.202 O
0.500 0.000 0.000 Pu
```

=====

Relative to the most stable one, in meV/atom, the structures come out at #1 0; #2 9.

=====

#1
The following is a GGA-PBE calculation of crystalline K2Pu2O7 at its relaxed geometry, from Alexandria.

Properties
The density of states at the Fermi level is 8.469 states/eV/f.u.

```
K2Pu2O7
1.0
5.363 0.463 -0.055
0.582 6.334 0.619
-0.385 0.463 5.349
O K Pu
7 2 2
Direct
0.453 0.823 0.452 O
0.519 0.793 0.960 O
0.481 0.207 0.040 O
0.547 0.177 0.548 O
0.961 0.793 0.519 O
0.000 0.000 0.000 O
0.039 0.207 0.481 O
0.245 0.541 0.246 K
0.755 0.459 0.754 K
0.281 0.000 0.719 Pu
0.719 0.000 0.281 Pu
```

=====

#2
The following is a GGA-PBE calculation of crystalline K2Pu2O7 at its relaxed geometry, from Alexandria.

Properties
The density of states at the Fermi level is 5.540 states/eV/f.u.

```
K2Pu2O7
1.0
7.024 0.000 4.019
2.524 6.626 3.736
0.076 0.020 8.014
O K Pu
14 4 4
Direct
0.323 0.298 0.459 O
0.420 0.959 0.798 O
0.418 0.279 0.885 O
0.582 0.721 0.115 O
0.580 0.041 0.202 O
0.080 0.702 0.541 O
0.177 0.041 0.202 O
0.082 0.615 0.221 O
0.823 0.959 0.798 O
0.750 0.080 0.420 O
0.920 0.298 0.459 O
0.250 0.920 0.580 O
0.677 0.702 0.541 O
0.918 0.385 0.779 O
0.000 0.000 0.000 K
0.500 0.500 0.000 K
0.000 0.500 0.000 K
0.500 0.500 0.500 K
0.500 0.000 0.000 Pu
0.500 0.000 0.500 Pu
0.000 0.000 0.500 Pu
0.000 0.500 0.500 Pu
```

=====

Relative to the most stable one, in meV/atom, the structures come out at #1 193; #2 0.

=====

#1
The following is a GGA-PBE calculation of crystalline K2Rb2O at its relaxed geometry, from Alexandria.

Properties
The density of states at the Fermi level is 5.491 states/eV/f.u.

```
K2Rb2O
1.0
-4.355 -0.610 -2.306
-2.247 -0.565 4.392
-5.194 10.966 1.559
Rb O K
2 1 2
Direct
0.750 0.250 0.500 Rb
0.250 0.750 0.500 Rb
0.000 0.000 0.000 O
0.433 0.433 0.134 K
0.567 0.567 0.866 K
```

=====

#2
The following is a GGA-PBE calculation of crystalline K2Rb2O at its relaxed geometry, from Alexandria.

Properties
The density of states at the Fermi level is 1.242 states/eV/f.u.

```
K2Rb2O
1.0
7.880 0.000 0.000
0.000 7.880 0.000
0.000 0.000 8.243
Rb O K
4 2 4
Direct
0.291 0.791 0.000 Rb
0.209 0.291 0.000 Rb
0.709 0.209 0.000 Rb
0.791 0.709 0.000 Rb
0.500 0.500 0.000 O
0.000 0.000 0.000 O
0.194 0.694 0.500 K
0.694 0.806 0.500 K
0.306 0.194 0.500 K
0.806 0.306 0.500 K
```

=====

#3
The following is a GGA-PBE calculation of crystalline K2Rb2O at its relaxed geometry, from Alexandria.

Properties
The density of states at the Fermi level is 10.415 states/eV/f.u.

```
K2Rb2O
1.0
4.775 0.000 0.000
0.000 4.775 0.000
2.388 2.388 12.297
Rb O K
2 1 2
Direct
0.433 0.433 0.134 Rb
0.567 0.567 0.866 Rb
0.000 0.000 0.000 O
0.250 0.750 0.500 K
0.750 0.250 0.500 K
```

=====

Relative to the most stable one, in meV/atom, the structures come out at #1 581; #2 0; #3 404.